No. 1
K2CrSbAs: optimized geometry, PBE-GGA.

The structure in extended XYZ format:
```
5
Lattice="6.494 0.000 0.000 0.000 4.596 0.000 0.000 0.000 6.494" Properties=species:S:1:pos:R:3 pbc="T T T"
Sb 3.247 2.298 3.247
Cr 0.000 0.000 0.000
K 3.247 0.000 0.000
K 0.000 0.000 3.247
As 0.000 2.298 0.000
```

Space-group type ... P4/mmm (123)
Spin magnetization ... 4.4 μB per cell
Raw formation energy ... 0.338 eV per atom

No. 2
KCrAs2Se: optimized geometry, PBE-GGA.

The structure in extended XYZ format:
```
5
Lattice="-4.275 1.327 -1.191 -1.615 -4.193 1.127 -0.888 1.712 5.099" Properties=species:S:1:pos:R:3 pbc="T T T"
Cr 0.000 0.000 0.000
As -0.808 -2.096 0.563
As -2.138 0.663 -0.595
Se -0.444 0.856 2.549
K -3.389 -0.577 2.517
```

Space-group type ... P4/mmm (123)
Excess energy over the best structure of this formula in the dataset ... 0.0 kJ per mole of atoms
Spin magnetization ... 0.0 μB per cell
Raw formation energy ... -0.045 eV per atom

No. 3
KCrAs2Se: optimized geometry, PBE-GGA.

The structure in extended XYZ format:
```
5
Lattice="5.426 0.000 0.000 0.000 5.426 0.000 0.000 0.000 5.522" Properties=species:S:1:pos:R:3 pbc="T T T"
As 2.713 0.000 0.000
As 0.000 2.713 0.000
K 0.000 0.000 0.000
Se 0.000 0.000 2.761
Cr 2.713 2.713 2.761
```

Space-group type ... P4/mmm (123)
Excess energy over the best structure of this formula in the dataset ... 155.5 kJ per mole of atoms
Spin magnetization ... 3.4 μB per cell
Raw formation energy ... 1.567 eV per atom

No. 4
K2Cr2AsSe6: optimized geometry, PBE-GGA.

The structure in extended XYZ format:
```
11
Lattice="-2.188 -5.477 -2.859 4.952 -0.265 4.286 -5.952 0.858 5.322" Properties=species:S:1:pos:R:3 pbc="T T T"
Se 1.436 -3.247 4.048
Se -1.024 -5.042 1.587
Se -4.623 -1.637 2.700
Se -2.164 0.158 5.161
Se -2.072 -3.499 4.623
Se -1.116 -1.385 2.126
K 3.780 -1.121 3.113
K -1.016 -4.622 -1.686
Cr -2.788 -3.314 2.179
Cr -0.399 -1.570 4.569
As -2.976 0.429 2.661
```

Space-group type ... C2/m (12)
Spin magnetization ... 5.1 μB per cell
Raw formation energy ... -0.676 eV per atom

No. 5
KCrAsSe2: optimized geometry, PBE-GGA.

The structure in extended XYZ format:
```
5
Lattice="4.967 0.000 0.000 0.000 4.967 0.000 0.000 0.000 4.697" Properties=species:S:1:pos:R:3 pbc="T T T"
K 2.484 2.484 2.348
Se 2.484 0.000 0.000
Se 0.000 2.484 0.000
Cr 0.000 0.000 0.000
As 0.000 0.000 2.348
```

Space-group type ... P4/mmm (123)
Spin magnetization ... 0.0 μB per cell
Raw formation energy ... -0.149 eV per atom

No. 6
KCrTe3As: optimized geometry, PBE-GGA.

The structure in extended XYZ format:
```
12
Lattice="3.611 0.000 0.000 0.000 9.068 -0.392 0.000 -2.773 10.500" Properties=species:S:1:pos:R:3 pbc="T T T"
As 0.903 -0.379 7.075
As 2.708 6.674 3.032
Te 2.708 3.733 0.946
Te 2.708 1.871 6.211
Te 0.903 4.424 3.897
Te 2.708 7.660 0.568
Te 0.903 -1.366 9.540
Te 0.903 2.562 9.162
Cr 0.903 5.756 1.454
Cr 2.708 0.539 8.654
K 0.903 0.878 3.218
K 2.708 5.417 6.890
```

Space-group type ... P2_1/m (11)
Spin magnetization ... 2.1 μB per cell
Raw formation energy ... -0.268 eV per atom

No. 7
K2VCrAs: optimized geometry, PBE-GGA.

The structure in extended XYZ format:
```
5
Lattice="6.252 0.000 0.000 0.000 4.343 0.000 0.000 0.000 6.252" Properties=species:S:1:pos:R:3 pbc="T T T"
As 3.126 2.172 3.126
K 3.126 0.000 0.000
K 0.000 0.000 3.126
Cr 0.000 2.172 0.000
V 0.000 0.000 0.000
```

Space-group type ... P4/mmm (123)
Formation energy from the elements ... 1.26 eV/atom
Spin magnetization ... 0.1 μB per cell

No. 8
LaCrAs2: optimized geometry, PBE-GGA.

The structure in extended XYZ format:
```
4
Lattice="3.992 -0.004 0.002 1.999 3.455 0.002 1.992 1.147 6.446" Properties=species:S:1:pos:R:3 pbc="T T T"
La 1.995 1.149 1.703
As 1.992 1.148 6.041
As 5.988 3.449 3.619
Cr 3.990 2.299 4.758
```

Space-group type ... R3m (160)
Formation energy from the elements ... -0.72 eV/atom
Excess energy over the best structure of this formula in the dataset ... 8.0 kJ per mole of atoms
Spin magnetization ... 2.8 μB per cell

No. 9
LaCr2As: optimized geometry, PBE-GGA.

The structure in extended XYZ format:
```
4
Lattice="5.846 0.012 0.007 4.329 3.929 0.007 4.329 1.677 3.554" Properties=species:S:1:pos:R:3 pbc="T T T"
Cr 6.226 2.412 1.532
Cr 1.026 0.397 0.252
La 3.626 1.404 0.892
As 10.878 4.213 2.676
```

Space-group type ... R-3m (166)
Formation energy from the elements ... -0.12 eV/atom
Spin magnetization ... 0.0 μB per cell

No. 10
LaCr2As: optimized geometry, PBE-GGA.

The structure in extended XYZ format:
```
4
Lattice="-1.659 3.754 -0.946 -3.718 1.129 1.625 0.726 3.809 4.470" Properties=species:S:1:pos:R:3 pbc="T T T"
Cr -3.114 6.843 4.492
Cr 0.646 3.739 4.335
La -2.291 4.375 2.632
As -1.490 1.890 0.735
```

Space-group type ... R3m (160)
Formation energy from the elements ... -0.30 eV/atom
Spin magnetization ... 0.1 μB per cell

No. 11
LaCrAs2: optimized geometry, PBE-GGA.

The structure in extended XYZ format:
```
4
Lattice="-2.600 2.992 -0.438 -2.026 -1.264 3.394 3.395 3.437 3.318" Properties=species:S:1:pos:R:3 pbc="T T T"
As 1.219 1.431 2.538
As 2.860 3.092 4.136
La -0.274 3.126 4.815
Cr -0.958 2.039 1.459
```

Space-group type ... P2/m (10)
Formation energy from the elements ... -0.56 eV/atom
Excess energy over the best structure of this formula in the dataset ... 23.1 kJ per mole of atoms
Spin magnetization ... 3.7 μB per cell

No. 12
LaCr2As: optimized geometry, PBE-GGA.

The structure in extended XYZ format:
```
4
Lattice="3.449 0.000 0.000 0.000 3.450 0.000 0.000 0.000 6.340" Properties=species:S:1:pos:R:3 pbc="T T T"
La 1.725 1.725 1.585
Cr 0.000 0.000 3.762
Cr 0.000 0.000 5.748
As 1.725 1.725 4.755
```

Space-group type ... P4/mmm (123)
Formation energy from the elements ... 0.23 eV/atom
Spin magnetization ... 1.3 μB per cell

The records above yield VASP energy values of -3.78, -4.75, -3.13, -4.95, -4.62, -4.40, -3.86, -6.68, -7.32, -7.51, -6.52, -6.97 eV/atom, respectively.